The following is a SCAN calculation of a PBEsol-optimized structure of IrC, from Alexandria.

abc: 3.230 3.230 3.128
angles: 90.00 90.00 131.58
Fractional positions:
Ir 0.000 0.000 0.000
C 0.500 0.500 0.500

Properties
**Final energy**: -39.19 eV/atom
**Fermi-level density of states**: 1.12 states/eV per cell
**Crystal system**: orthorhombic
**Energy above the most stable polymorph in this dataset**: 641 meV/atom

The following is a SCAN calculation of a PBEsol-optimized structure of BaCuRh2, from Alexandria.

abc: 4.343 4.343 6.020
angles: 111.23 111.23 60.01
Fractional positions:
Ba 0.000 0.000 0.000
Cu 0.500 0.500 0.500
Rh 0.180 0.180 0.540
Rh 0.820 0.820 0.460

Properties
**Final energy**: -30.69 eV/atom
**Fermi-level density of states**: 4.23 states/eV per cell
**Crystal system**: monoclinic
**Energy above the most stable polymorph in this dataset**: 23 meV/atom

The following is a SCAN calculation of a PBEsol-optimized structure of BiSeNO2, from Alexandria.

abc: 4.124 4.124 4.389
angles: 90.00 90.00 90.00
Fractional positions:
Bi 0.000 0.000 0.000
Se 0.500 0.500 0.500
N 0.000 0.000 0.500
O 0.000 0.500 0.000
O 0.500 0.000 0.000

Properties
**Final energy**: -23.23 eV/atom
**Formation energy from raw total energies**: 0.849 eV/atom
**Fermi-level density of states**: 2.07 states/eV per cell
**Crystal system**: tetragonal

The following is a SCAN calculation of a PBEsol-optimized structure of ZrTe2Mo, from Alexandria.

abc: 3.458 5.145 4.716
angles: 90.00 90.00 90.00
Fractional positions:
Zr 0.000 0.000 0.000
Te 0.000 0.500 0.235
Te 0.500 0.000 0.526
Mo 0.500 0.500 0.768

Properties
**Final energy**: -35.21 eV/atom
**Formation energy from raw total energies**: -0.184 eV/atom
**Fermi-level density of states**: 3.01 states/eV per cell
**Crystal system**: orthorhombic
**Energy above the most stable polymorph in this dataset**: 48 meV/atom

The following is a SCAN calculation of a PBEsol-optimized structure of LiNi2S3O12, from Alexandria.

abc: 8.157 8.509 14.179
angles: 90.00 124.71 90.00
Fractional positions:
Li 0.003 0.208 0.322
Li 0.003 0.292 0.822
Li 0.997 0.708 0.178
Li 0.997 0.792 0.678
Ni 0.142 0.533 0.391
Ni 0.142 0.967 0.891
Ni 0.368 0.534 0.115
Ni 0.368 0.966 0.615
Ni 0.632 0.034 0.385
Ni 0.632 0.466 0.885
Ni 0.858 0.033 0.109
Ni 0.858 0.467 0.609
S 0.037 0.116 0.646
S 0.037 0.384 0.146
S 0.256 0.620 0.650
S 0.256 0.880 0.150
S 0.459 0.249 0.495
S 0.459 0.251 0.995
S 0.541 0.749 0.005
S 0.541 0.751 0.505
S 0.744 0.120 0.850
S 0.744 0.380 0.350
S 0.963 0.616 0.854
S 0.963 0.884 0.354
O 0.019 0.230 0.189
O 0.019 0.270 0.689
O 0.114 0.582 0.682
O 0.114 0.918 0.182
O 0.116 0.000 0.741
O 0.116 0.500 0.241
O 0.157 0.590 0.527
O 0.157 0.910 0.027
O 0.163 0.558 0.947
O 0.163 0.942 0.447
O 0.175 0.128 0.610
O 0.175 0.372 0.110
O 0.254 0.186 0.944
O 0.254 0.314 0.444
O 0.286 0.707 0.172
O 0.286 0.793 0.672
O 0.395 0.625 0.440
O 0.395 0.875 0.940
O 0.439 0.527 0.719
O 0.439 0.973 0.219
O 0.464 0.193 0.397
O 0.464 0.307 0.897
O 0.498 0.123 0.576
O 0.498 0.377 0.076
O 0.502 0.623 0.924
O 0.502 0.877 0.424
O 0.536 0.693 0.103
O 0.536 0.807 0.603
O 0.561 0.027 0.781
O 0.561 0.473 0.281
O 0.605 0.125 0.060
O 0.605 0.375 0.560
O 0.714 0.207 0.328
O 0.714 0.293 0.828
O 0.746 0.686 0.556
O 0.746 0.814 0.056
O 0.825 0.628 0.890
O 0.825 0.872 0.390
O 0.837 0.058 0.553
O 0.837 0.442 0.053
O 0.843 0.090 0.973
O 0.843 0.410 0.473
O 0.884 0.000 0.259
O 0.884 0.500 0.759
O 0.886 0.082 0.818
O 0.886 0.418 0.318
O 0.981 0.730 0.311
O 0.981 0.770 0.811

Properties
**Final energy**: -9.25 eV/atom
**Formation energy from raw total energies**: -1.562 eV/atom
**Fermi-level density of states**: 24.50 states/eV per cell
**Crystal system**: monoclinic
**Energy above the most stable polymorph in this dataset**: 0 meV/atom

The following is a SCAN calculation of a PBEsol-optimized structure of YScRu4, from Alexandria.

abc: 5.194 5.194 5.194
angles: 60.00 60.00 60.00
Fractional positions:
Y 0.000 0.000 0.000
Sc 0.250 0.250 0.250
Ru 0.126 0.625 0.625
Ru 0.625 0.126 0.625
Ru 0.625 0.625 0.126
Ru 0.625 0.625 0.625

Properties
**Final energy**: -30.61 eV/atom
**Fermi-level density of states**: 6.91 states/eV per cell
**Crystal system**: cubic

The following is a SCAN calculation of a PBEsol-optimized structure of ScFePt, from Alexandria.

abc: 4.231 4.231 4.231
angles: 60.00 60.00 60.00
Fractional positions:
Sc 0.000 0.000 0.000
Fe 0.250 0.250 0.250
Pt 0.750 0.750 0.750

Properties
**Final energy**: -34.13 eV/atom
**Fermi-level density of states**: 3.79 states/eV per cell
**Crystal system**: cubic

The following is a SCAN calculation of a PBEsol-optimized structure of In2RuSe, from Alexandria.

abc: 9.644 9.644 9.644
angles: 19.12 19.12 19.12
Fractional positions:
In 0.000 0.000 0.000
In 0.237 0.237 0.237
Ru 0.495 0.495 0.495
Se 0.775 0.775 0.775

Properties
**Final energy**: -30.45 eV/atom
**Formation energy from raw total energies**: -0.027 eV/atom
**Fermi-level density of states**: 2.48 states/eV per cell
**Crystal system**: trigonal

The following is a SCAN calculation of a PBEsol-optimized structure of BeSiTe, from Alexandria.

abc: 4.410 4.410 4.410
angles: 60.00 60.00 60.00
Fractional positions:
Be 0.000 0.000 0.000
Si 0.750 0.750 0.750
Te 0.500 0.500 0.500

Properties
**Final energy**: -16.30 eV/atom
**Formation energy from raw total energies**: 0.908 eV/atom
**Fermi-level density of states**: 1.52 states/eV per cell
**Crystal system**: cubic
**Energy above the most stable polymorph in this dataset**: 289 meV/atom

The following is a SCAN calculation of a PBEsol-optimized structure of Mn2ZnCo, from Alexandria.

abc: 2.836 2.836 5.656
angles: 90.00 90.00 90.00
Fractional positions:
Mn 0.000 0.000 0.000
Mn 0.500 0.500 0.231
Zn 0.000 0.000 0.510
Co 0.500 0.500 0.760

Properties
**Final energy**: -16.99 eV/atom
**Fermi-level density of states**: 1.73 states/eV per cell
**Crystal system**: tetragonal

The following is a SCAN calculation of a PBEsol-optimized structure of La3YTl, from Alexandria.

abc: 5.671 5.671 5.671
angles: 90.00 90.00 90.00
Fractional positions:
La 0.000 0.000 0.500
La 0.000 0.500 0.000
La 0.500 0.000 0.000
Y 0.000 0.000 0.000
Tl 0.500 0.500 0.500

Properties
**Final energy**: -45.38 eV/atom
**Fermi-level density of states**: 4.81 states/eV per cell
**Crystal system**: cubic

The following is a SCAN calculation of a PBEsol-optimized structure of Hf2Si4Ni3, from Alexandria.

abc: 7.235 7.235 6.817
angles: 90.00 90.00 138.49
Fractional positions:
Hf 0.104 0.896 0.902
Hf 0.396 0.604 0.402
Hf 0.604 0.396 0.598
Hf 0.896 0.104 0.098
Si 0.182 0.818 0.523
Si 0.189 0.311 0.750
Si 0.311 0.189 0.250
Si 0.318 0.682 0.023
Si 0.682 0.318 0.977
Si 0.689 0.811 0.750
Si 0.811 0.689 0.250
Si 0.818 0.182 0.477
Ni 0.000 0.000 0.500
Ni 0.021 0.479 0.750
Ni 0.479 0.021 0.250
Ni 0.500 0.500 0.000
Ni 0.521 0.979 0.750
Ni 0.979 0.521 0.250

Properties
**Final energy**: -24.54 eV/atom
**Formation energy from raw total energies**: -0.772 eV/atom
**Fermi-level density of states**: 5.91 states/eV per cell
**Crystal system**: orthorhombic

The following is a SCAN calculation of a PBEsol-optimized structure of Tl2InAu, from Alexandria.

abc: 7.187 7.187 7.187
angles: 152.28 143.53 46.42
Fractional positions:
Tl 0.190 0.190 0.000
Tl 0.810 0.810 0.000
In 0.500 0.000 0.500
Au 0.000 0.500 0.500

Properties
**Final energy**: -61.86 eV/atom
**Fermi-level density of states**: 1.49 states/eV per cell
**Crystal system**: orthorhombic
**Energy above the most stable polymorph in this dataset**: 7 meV/atom

The following is a SCAN calculation of a PBEsol-optimized structure of HfSc2Ni2, from Alexandria.

abc: 6.846 6.846 3.626
angles: 90.00 90.00 90.00
Fractional positions:
Hf 0.000 0.000 0.000
Hf 0.500 0.500 0.000
Sc 0.165 0.335 0.500
Sc 0.335 0.835 0.500
Sc 0.665 0.165 0.500
Sc 0.835 0.665 0.500
Ni 0.130 0.630 0.000
Ni 0.370 0.130 0.000
Ni 0.630 0.870 0.000
Ni 0.870 0.370 0.000

Properties
**Final energy**: -25.07 eV/atom
**Fermi-level density of states**: 8.42 states/eV per cell
**Crystal system**: tetragonal

The following is a SCAN calculation of a PBEsol-optimized structure of CrOs2Au, from Alexandria.

abc: 2.655 2.655 9.185
angles: 90.00 90.00 116.99
Fractional positions:
Cr 0.000 0.000 0.000
Os 0.500 0.500 0.223
Os 0.500 0.500 0.777
Au 0.000 0.000 0.500

Properties
**Final energy**: -57.36 eV/atom
**Fermi-level density of states**: 4.10 states/eV per cell
**Crystal system**: orthorhombic
**Energy above the most stable polymorph in this dataset**: 172 meV/atom

The following is a SCAN calculation of a PBEsol-optimized structure of LaScCrGe2, from Alexandria.

abc: 4.694 4.694 4.591
angles: 90.00 90.00 90.00
Fractional positions:
La 0.000 0.000 0.000
Sc 0.500 0.500 0.000
Cr 0.500 0.500 0.500
Ge 0.000 0.500 0.500
Ge 0.500 0.000 0.500

Properties
**Final energy**: -22.99 eV/atom
**Fermi-level density of states**: 2.67 states/eV per cell
**Crystal system**: tetragonal

The following is a SCAN calculation of a PBEsol-optimized structure of YHg2Rh, from Alexandria.

abc: 5.317 5.317 5.317
angles: 133.41 133.41 68.01
Fractional positions:
Y 0.000 0.000 0.000
Hg 0.250 0.750 0.500
Hg 0.750 0.250 0.500
Rh 0.500 0.500 0.000

Properties
**Final energy**: -50.01 eV/atom
**Fermi-level density of states**: 1.73 states/eV per cell
**Crystal system**: tetragonal

The following is a SCAN calculation of a PBEsol-optimized structure of TaMo, from Alexandria.

abc: 3.187 3.187 12.857
angles: 90.00 90.00 90.00
Fractional positions:
Ta 0.000 0.000 0.123
Ta 0.000 0.000 0.877
Ta 0.500 0.500 0.258
Ta 0.500 0.500 0.742
Mo 0.000 0.000 0.380
Mo 0.000 0.000 0.620
Mo 0.500 0.500 0.000
Mo 0.500 0.500 0.500

Properties
**Final energy**: -50.88 eV/atom
**Fermi-level density of states**: 5.86 states/eV per cell
**Crystal system**: tetragonal

The following is a SCAN calculation of a PBEsol-optimized structure of LiMo3Os, from Alexandria.

abc: 4.722 4.722 4.722
angles: 90.00 90.00 90.00
Fractional positions:
Li 0.000 0.000 0.000
Mo 0.000 0.500 0.500
Mo 0.500 0.000 0.500
Mo 0.500 0.500 0.000
Os 0.500 0.500 0.500

Properties
**Final energy**: -34.23 eV/atom
**Fermi-level density of states**: 5.60 states/eV per cell
**Crystal system**: cubic

The following is a SCAN calculation of a PBEsol-optimized structure of Cs3AgO, from Alexandria.

abc: 5.796 5.796 5.796
angles: 90.00 90.00 90.00
Fractional positions:
Cs 0.000 0.000 0.500
Cs 0.000 0.500 0.000
Cs 0.500 0.000 0.000
Ag 0.500 0.500 0.500
O 0.000 0.000 0.000

Properties
**Final energy**: -30.82 eV/atom
**Formation energy from raw total energies**: -0.615 eV/atom
**Fermi-level density of states**: 2.51 states/eV per cell
**Crystal system**: cubic

The following is a SCAN calculation of a PBEsol-optimized structure of CoAs3Pb, from Alexandria.

abc: 4.636 4.636 4.636
angles: 90.00 90.00 90.00
Fractional positions:
Co 0.000 0.000 0.000
As 0.000 0.000 0.500
As 0.000 0.500 0.000
As 0.500 0.000 0.000
Pb 0.500 0.500 0.500

Properties
**Final energy**: -30.30 eV/atom
**Fermi-level density of states**: 5.33 states/eV per cell
**Crystal system**: cubic

The following is a SCAN calculation of a PBEsol-optimized structure of ZnTcNi2, from Alexandria.

abc: 2.578 2.578 7.158
angles: 90.00 90.00 90.00
Fractional positions:
Zn 0.000 0.000 0.000
Tc 0.500 0.500 0.714
Ni 0.000 0.000 0.470
Ni 0.500 0.500 0.239

Properties
**Final energy**: -20.23 eV/atom
**Fermi-level density of states**: 1.99 states/eV per cell
**Crystal system**: tetragonal

The following is a SCAN calculation of a PBEsol-optimized structure of AgTeCl2, from Alexandria.

abc: 5.461 5.003 4.933
angles: 66.68 57.28 56.04
Fractional positions:
Ag 0.000 0.000 0.000
Te 0.500 0.500 0.500
Cl 0.000 0.500 0.500
Cl 0.500 0.000 0.000

Properties
**Final energy**: -21.34 eV/atom
**Formation energy from raw total energies**: -0.202 eV/atom
**Fermi-level density of states**: 0.98 states/eV per cell
**Crystal system**: orthorhombic
**Energy above the most stable polymorph in this dataset**: 0 meV/atom

The following is a SCAN calculation of a PBEsol-optimized structure of CaBe2IrCl, from Alexandria.

abc: 4.070 4.070 4.837
angles: 90.00 90.00 90.00
Fractional positions:
Ca 0.000 0.000 0.000
Be 0.000 0.500 0.500
Be 0.500 0.000 0.500
Ir 0.500 0.500 0.000
Cl 0.000 0.000 0.500

Properties
**Final energy**: -18.84 eV/atom
**Formation energy from raw total energies**: 0.645 eV/atom
**Fermi-level density of states**: 1.96 states/eV per cell
**Crystal system**: tetragonal

The following is a SCAN calculation of a PBEsol-optimized structure of BeGa2CS, from Alexandria.

abc: 4.454 4.454 3.354
angles: 90.00 90.00 90.00
Fractional positions:
Be 0.000 0.000 0.000
Ga 0.000 0.500 0.500
Ga 0.500 0.000 0.500
C 0.000 0.000 0.500
S 0.500 0.500 0.000

Properties
**Final energy**: -11.04 eV/atom
**Formation energy from raw total energies**: 0.310 eV/atom
**Fermi-level density of states**: 1.33 states/eV per cell
**Crystal system**: tetragonal

| no. | size of the total moment (μB/atom) |
| --- | --- |
| 1 | 0.001 |
| 2 | 0.000 |
| 3 | 0.249 |
| 4 | 0.001 |
| 5 | 0.161 |
| 6 | 0.000 |
| 7 | 0.986 |
| 8 | 0.000 |
| 9 | 0.001 |
| 10 | 0.266 |
| 11 | 0.000 |
| 12 | 0.000 |
| 13 | 0.000 |
| 14 | 0.000 |
| 15 | 0.000 |
| 16 | 0.090 |
| 17 | 0.000 |
| 18 | 0.000 |
| 19 | 0.420 |
| 20 | 0.011 |
| 21 | 0.001 |
| 22 | 0.101 |
| 23 | 0.000 |
| 24 | 0.000 |
| 25 | 0.000 |